Record 1
The following is a DFT calculation (PBE) of crystalline BiTe2AsW at its relaxed geometry.

Values from the calculation:
**E_form (uncorrected)**: 2.09 eV per atom
**Magnetic moment**: 0.073 μB per cell

Cell: 5.7320 5.7320 5.2836 Å, 90.00 90.00 90.00°
Positions (direct):
Bi  0.0000  0.0000  0.0000
Te  0.0000  0.5000  0.0000
Te  0.5000  0.0000  0.0000
As  0.0000  0.0000  0.5000
W  0.5000  0.5000  0.5000

Record 2
The following is a DFT calculation (PBE) of crystalline Ac2Pm5Nd6 at its relaxed geometry.

Values from the calculation:
**Raw total energy**: -4.56 eV/atom
**Magnetic moment**: 0.000 μB per cell

Cell: 12.2026 21.0333 3.7286 Å, 90.00 90.00 90.00°
Positions (direct):
Ac  0.1669  0.2202  0.0000
Ac  0.3331  0.7202  0.0000
Ac  0.6669  0.2798  0.0000
Ac  0.8331  0.7798  0.0000
Pm  0.0000  0.5000  0.5000
Pm  0.0927  0.7821  0.5000
Pm  0.2020  0.0545  0.5000
Pm  0.2980  0.5545  0.5000
Pm  0.4073  0.2821  0.5000
Pm  0.5000  0.0000  0.5000
Pm  0.5927  0.7179  0.5000
Pm  0.7020  0.4455  0.5000
Pm  0.7980  0.9455  0.5000
Pm  0.9073  0.2179  0.5000
Nd  0.0591  0.9249  0.0000
Nd  0.0735  0.6372  0.0000
Nd  0.1829  0.3782  0.5000
Nd  0.3171  0.8782  0.5000
Nd  0.4265  0.1372  0.0000
Nd  0.4409  0.4249  0.0000
Nd  0.5591  0.5751  0.0000
Nd  0.5735  0.8628  0.0000
Nd  0.6829  0.1218  0.5000
Nd  0.8171  0.6218  0.5000
Nd  0.9265  0.3628  0.0000
Nd  0.9409  0.0751  0.0000

Record 3
The following is a DFT calculation (PBE) of crystalline LaTlInAg at its relaxed geometry.

Values from the calculation:
**Raw total energy**: -3.53 eV/atom
**Magnetic moment**: 0.000 μB per cell

Cell: 5.2871 5.2871 5.2871 Å, 60.00 60.00 60.00°
Positions (direct):
La  0.0000  0.0000  0.0000
Tl  0.2500  0.2500  0.2500
In  0.5000  0.5000  0.5000
Ag  0.7500  0.7500  0.7500

Record 4
The following is a DFT calculation (PBE) of crystalline Dy2Er5Tm4 at its relaxed geometry.

Values from the calculation:
**Raw total energy**: -4.31 eV/atom
**Magnetic moment**: 0.000 μB per cell

Cell: 12.3930 12.3930 12.3930 Å, 164.00 138.11 45.11°
Positions (direct):
Dy  0.2317  0.2317  0.0000
Dy  0.7683  0.7683  0.0000
Er  0.1602  0.3570  0.8032
Er  0.4463  0.6430  0.8032
Er  0.5000  0.0000  0.5000
Er  0.5537  0.3570  0.1968
Er  0.8398  0.6430  0.1968
Tm  0.0970  0.0970  0.0000
Tm  0.1886  0.5000  0.6886
Tm  0.8114  0.5000  0.3114
Tm  0.9030  0.9030  0.0000

Record 5
The following is a DFT calculation (PBE) of crystalline Ca2BeAl at its relaxed geometry.

Values from the calculation:
**Relative energy among the computed polymorphs**: 0.080 eV per atom
**Magnetic moment**: 0.000 μB per cell

Cell: 6.1103 6.1103 5.1518 Å, 114.78 114.78 32.99°
Positions (direct):
Ca  0.0000  0.0000  0.0000
Ca  0.1956  0.1956  0.6956
Be  0.4488  0.4488  0.4498
Al  0.7861  0.7861  0.2855

Record 6
The following is a DFT calculation (PBE) of crystalline KNa9Tl4 at its relaxed geometry.

Values from the calculation:
**Raw total energy**: -1.66 eV/atom
**Magnetic moment**: 0.000 μB per cell

Cell: 11.1654 11.1654 11.1654 Å, 121.12 121.12 88.07°
Positions (direct):
K  0.2500  0.2500  0.0000
K  0.7500  0.7500  0.0000
Na  0.0000  0.5000  0.5000
Na  0.0569  0.5569  0.2333
Na  0.0684  0.7974  0.8659
Na  0.1764  0.9431  0.5000
Na  0.2026  0.0684  0.2710
Na  0.2974  0.5684  0.8659
Na  0.3236  0.8236  0.7667
Na  0.4316  0.2974  0.7290
Na  0.4431  0.6764  0.5000
Na  0.5000  0.0000  0.5000
Na  0.5569  0.3236  0.5000
Na  0.5684  0.7026  0.2710
Na  0.6764  0.1764  0.2333
Na  0.7026  0.4316  0.1341
Na  0.7974  0.9316  0.7290
Na  0.8236  0.0569  0.5000
Na  0.9316  0.2026  0.1341
Na  0.9431  0.4431  0.7667
Tl  0.0630  0.2201  0.5000
Tl  0.2201  0.7201  0.1572
Tl  0.2799  0.4370  0.5000
Tl  0.4370  0.9370  0.1572
Tl  0.5630  0.0630  0.8428
Tl  0.7201  0.5630  0.5000
Tl  0.7799  0.2799  0.8428
Tl  0.9370  0.7799  0.5000

Record 7
The following is a DFT calculation (PBE) of crystalline PuTl3Rh2S6 at its relaxed geometry.

Values from the calculation:
**E_form (uncorrected)**: -0.66 eV per atom
**Magnetic moment**: 4.007 μB per cell

Cell: 6.1950 6.1950 8.4087 Å, 98.38 98.38 120.24°
Positions (direct):
Pu  0.0000  0.0000  0.0000
Tl  0.1644  0.8356  0.5000
Tl  0.5000  0.5000  0.5000
Tl  0.8356  0.1644  0.5000
Rh  0.3334  0.6666  0.0000
Rh  0.6666  0.3334  0.0000
S  0.0698  0.4362  0.1752
S  0.2991  0.2991  0.8264
S  0.4362  0.0698  0.1752
S  0.5638  0.9302  0.8248
S  0.7009  0.7009  0.1736
S  0.9302  0.5638  0.8248

Record 8
The following is a DFT calculation (PBE) of crystalline Rb2SbBr4 at its relaxed geometry.

Values from the calculation:
**Relative energy among the computed polymorphs**: 0.000 eV per atom
**E_form (uncorrected)**: -1.16 eV per atom
**Magnetic moment**: 1.000 μB per cell

Cell: 7.3055 7.3055 7.3055 Å, 112.40 112.40 103.76°
Positions (direct):
Rb  0.2500  0.7500  0.5000
Rb  0.7500  0.2500  0.5000
Sb  0.0000  0.0000  0.0000
Br  0.2457  0.2457  0.4913
Br  0.2457  0.7543  0.0000
Br  0.7543  0.2457  0.0000
Br  0.7543  0.7543  0.5087

Record 9
The following is a DFT calculation (PBE) of crystalline Zr2CuSi4Ir3 at its relaxed geometry.

Values from the calculation:
**E_form (uncorrected)**: -0.78 eV per atom
**Magnetic moment**: 0.000 μB per cell

Cell: 3.9990 3.9990 9.9210 Å, 90.00 90.00 90.00°
Positions (direct):
Zr  0.0000  0.5000  0.2463
Zr  0.5000  0.0000  0.7537
Cu  0.5000  0.5000  0.0000
Si  0.0000  0.0000  0.5000
Si  0.0000  0.5000  0.8648
Si  0.5000  0.0000  0.1352
Si  0.5000  0.5000  0.5000
Ir  0.0000  0.0000  0.0000
Ir  0.0000  0.5000  0.6306
Ir  0.5000  0.0000  0.3694

Record 10
The following is a DFT calculation (PBE) of crystalline La2Tm3Hg4 at its relaxed geometry.

Values from the calculation:
**Raw total energy**: -3.09 eV/atom
**Magnetic moment**: 0.000 μB per cell

Cell: 9.5423 9.5423 8.2529 Å, 90.00 90.00 136.80°
Positions (direct):
La  0.0957  0.9043  0.9080
La  0.4043  0.5957  0.4080
La  0.5957  0.4043  0.5920
La  0.9043  0.0957  0.0920
Tm  0.0000  0.0000  0.5000
Tm  0.0119  0.4881  0.7500
Tm  0.4881  0.0119  0.2500
Tm  0.5000  0.5000  0.0000
Tm  0.5119  0.9881  0.7500
Tm  0.9881  0.5119  0.2500
Hg  0.1708  0.8292  0.5260
Hg  0.1850  0.3150  0.7500
Hg  0.3150  0.1850  0.2500
Hg  0.3292  0.6708  0.0260
Hg  0.6708  0.3292  0.9740
Hg  0.6850  0.8150  0.7500
Hg  0.8150  0.6850  0.2500
Hg  0.8292  0.1708  0.4740

Record 11
The following is a DFT calculation (PBE) of crystalline U4SiN3 at its relaxed geometry.

Values from the calculation:
**E_form (uncorrected)**: -0.72 eV per atom
**Magnetic moment**: 4.448 μB per cell

Cell: 6.1506 6.1506 6.1506 Å, 130.65 130.65 72.37°
Positions (direct):
U  0.0000  0.5000  0.5000
U  0.2306  0.2306  0.0000
U  0.5000  0.0000  0.5000
U  0.7694  0.7694  0.0000
Si  0.5000  0.5000  0.0000
N  0.0000  0.0000  0.0000
N  0.2500  0.7500  0.5000
N  0.7500  0.2500  0.5000

Record 12
The following is a DFT calculation (PBE) of crystalline LiZr2Al2 at its relaxed geometry.

Values from the calculation:
**Relative energy among the computed polymorphs**: 0.126 eV per atom
**Magnetic moment**: 0.000 μB per cell

Cell: 8.5202 8.5202 2.9772 Å, 90.00 90.00 90.00°
Positions (direct):
Li  0.0000  0.0000  0.0000
Li  0.5000  0.5000  0.0000
Zr  0.1266  0.3734  0.0000
Zr  0.3734  0.8734  0.0000
Zr  0.6266  0.1266  0.0000
Zr  0.8734  0.6266  0.0000
Al  0.1702  0.6702  0.5000
Al  0.3298  0.1702  0.5000
Al  0.6702  0.8298  0.5000
Al  0.8298  0.3298  0.5000

Record 13
The following is a DFT calculation (PBE) of crystalline K2CdBi2 at its relaxed geometry.

Values from the calculation:
**Relative energy among the computed polymorphs**: 0.300 eV per atom
**Magnetic moment**: 0.000 μB per cell

Cell: 11.0292 11.0292 3.2450 Å, 90.00 90.00 90.00°
Positions (direct):
K  0.1302  0.3698  0.0000
K  0.3698  0.8698  0.0000
K  0.6302  0.1302  0.0000
K  0.8698  0.6302  0.0000
Cd  0.0000  0.0000  0.0000
Cd  0.5000  0.5000  0.0000
Bi  0.1673  0.6673  0.5000
Bi  0.3327  0.1673  0.5000
Bi  0.6673  0.8327  0.5000
Bi  0.8327  0.3327  0.5000

Record 14
The following is a DFT calculation (PBE) of crystalline Pr4Rh2Cl3 at its relaxed geometry.

Values from the calculation:
**E_form (uncorrected)**: -1.33 eV per atom
**Magnetic moment**: 0.000 μB per cell

Cell: 4.0846 4.0846 18.1787 Å, 90.04 90.04 60.00°
Positions (direct):
Pr  0.0006  0.0006  0.3066
Pr  0.3336  0.3336  0.1247
Pr  0.6664  0.6664  0.8753
Pr  0.9994  0.9994  0.6934
Rh  0.3329  0.3329  0.7898
Rh  0.6671  0.6671  0.2102
Cl  0.0000  0.0000  0.0000
Cl  0.3341  0.3341  0.4044
Cl  0.6659  0.6659  0.5956

Record 15
The following is a DFT calculation (PBE) of crystalline AgAs2Pt at its relaxed geometry.

Values from the calculation:
**Relative energy among the computed polymorphs**: 0.135 eV per atom
**Magnetic moment**: 0.000 μB per cell

Cell: 3.0503 4.0630 5.7827 Å, 90.00 90.00 90.00°
Positions (direct):
Ag  0.0000  0.0000  0.0000
As  0.0000  0.0000  0.5336
As  0.5000  0.5000  0.1976
Pt  0.5000  0.5000  0.6874

Record 16
The following is a DFT calculation (PBE) of crystalline SnMoHRu2 at its relaxed geometry.

Values from the calculation:
**Raw total energy**: -7.18 eV/atom
**Magnetic moment**: 1.379 μB per cell

Cell: 4.1050 4.1050 3.9337 Å, 90.00 90.00 90.00°
Positions (direct):
Sn  0.0000  0.0000  0.0000
Mo  0.5000  0.5000  0.0000
H  0.5000  0.5000  0.5000
Ru  0.0000  0.5000  0.5000
Ru  0.5000  0.0000  0.5000

Record 17
The following is a DFT calculation (PBE) of crystalline NaSeN2 at its relaxed geometry.

Values from the calculation:
**E_form (uncorrected)**: 0.99 eV per atom
**Magnetic moment**: 0.903 μB per cell

Cell: 6.3654 6.3654 6.3654 Å, 35.76 35.76 35.76°
Positions (direct):
Na  0.0000  0.0000  0.0000
Se  0.5000  0.5000  0.5000
N  0.4039  0.4039  0.4039
N  0.5961  0.5961  0.5961

Record 18
The following is a DFT calculation (PBE) of crystalline K3ZnSe2 at its relaxed geometry.

Values from the calculation:
**E_form (uncorrected)**: -0.76 eV per atom
**Magnetic moment**: 0.000 μB per cell

Cell: 9.1636 9.1636 9.1636 Å, 131.53 76.20 125.14°
Positions (direct):
K  0.0203  0.7500  0.2703
K  0.2500  0.2500  0.0000
K  0.4797  0.7500  0.7297
K  0.5203  0.2500  0.2703
K  0.7500  0.7500  0.0000
K  0.9797  0.2500  0.7297
Zn  0.0000  0.5000  0.5000
Zn  0.5000  0.0000  0.5000
Se  0.1193  0.7479  0.8672
Se  0.3807  0.2479  0.6286
Se  0.6193  0.7521  0.3714
Se  0.8807  0.2521  0.1328

Record 19
The following is a DFT calculation (PBE) of crystalline AcTm2PtO8 at its relaxed geometry.

Values from the calculation:
**E_form (uncorrected)**: -2.19 eV per atom
**Magnetic moment**: 0.902 μB per cell

Cell: 4.9971 7.0858 5.0083 Å, 90.00 90.20 90.00°
Positions (direct):
Ac  0.0000  0.0000  0.0000
Tm  0.5000  0.2639  0.5000
Tm  0.5000  0.7361  0.5000
Pt  0.0000  0.5000  0.0000
O  0.1918  0.2977  0.8107
O  0.1918  0.7023  0.8107
O  0.2808  0.5000  0.2830
O  0.3293  0.0000  0.3311
O  0.6707  0.0000  0.6689
O  0.7192  0.5000  0.7170
O  0.8082  0.2977  0.1893
O  0.8082  0.7023  0.1893

Record 20
The following is a DFT calculation (PBE) of crystalline YNiAu at its relaxed geometry.

Values from the calculation:
**Raw total energy**: -5.72 eV/atom
**Magnetic moment**: 0.001 μB per cell

Cell: 5.5998 5.5998 5.5998 Å, 133.13 94.95 103.30°
Positions (direct):
Y  0.2037  0.2500  0.4537
Y  0.7963  0.7500  0.5463
Ni  0.2389  0.5463  0.1926
Ni  0.3536  0.0463  0.8074
Au  0.5941  0.9551  0.1390
Au  0.8161  0.4551  0.8610